No. 1
Compound: Mg2ZnHg
Source: Alexandria
Functional: SCAN
Structure: single point on PBEsol structure

a = 5.411 Å, b = 5.411 Å, c = 4.868 Å
α = 108.00°, β = 108.00°, γ = 34.97°
Element x y z (fractional)
Mg (0.000, 0.000, 0.000)
Mg (0.222, 0.222, 0.646)
Zn (0.477, 0.477, 0.500)
Hg (0.753, 0.753, 0.163)

Symmetry: Cm (8)
Energy above the lowest structure with this stoichiometry (eV/atom): 0.0602
Crystal system: monoclinic

***

No. 2
Compound: MgZnHg2
Source: Alexandria
Functional: SCAN
Structure: single point on PBEsol structure

a = 3.702 Å, b = 3.702 Å, c = 5.769 Å
α = 90.00°, β = 90.00°, γ = 90.00°
Element x y z (fractional)
Mg (0.000, 0.000, 0.000)
Zn (0.500, 0.500, 0.273)
Hg (0.000, 0.000, 0.482)
Hg (0.500, 0.500, 0.779)

Symmetry: P4mm (99)
Crystal system: tetragonal

***

No. 3
Compound: MgZnHg
Source: Alexandria
Functional: SCAN
Structure: single point on PBEsol structure

a = 3.181 Å, b = 3.181 Å, c = 6.658 Å
α = 90.00°, β = 90.00°, γ = 120.00°
Element x y z (fractional)
Mg (0.000, 0.000, 0.000)
Zn (0.667, 0.333, 0.674)
Hg (0.333, 0.667, 0.349)

Symmetry: P3m1 (156)
Energy above the lowest structure with this stoichiometry (eV/atom): 0.1576
Crystal system: trigonal

***

No. 4
Compound: Mg2ZnHg2
Source: Alexandria
Functional: SCAN
Structure: single point on PBEsol structure

a = 7.150 Å, b = 7.150 Å, c = 4.027 Å
α = 90.00°, β = 90.00°, γ = 90.00°
Element x y z (fractional)
Mg (0.159, 0.341, 0.000)
Mg (0.341, 0.841, 0.000)
Mg (0.659, 0.159, 0.000)
Mg (0.841, 0.659, 0.000)
Zn (0.000, 0.000, 0.500)
Zn (0.500, 0.500, 0.500)
Hg (0.147, 0.647, 0.500)
Hg (0.353, 0.147, 0.500)
Hg (0.647, 0.853, 0.500)
Hg (0.853, 0.353, 0.500)

Symmetry: P4/mbm (127)
Crystal system: tetragonal

***

No. 5
Compound: MgZnHg2
Source: Alexandria
Functional: SCAN
Structure: single point on PBEsol structure

a = 4.755 Å, b = 4.755 Å, c = 5.633 Å
α = 101.61°, β = 101.61°, γ = 40.04°
Element x y z (fractional)
Mg (0.000, 0.000, 0.000)
Zn (0.500, 0.500, 0.500)
Hg (0.248, 0.248, 0.741)
Hg (0.752, 0.752, 0.259)

Symmetry: C2/m (12)
Crystal system: monoclinic

***

No. 6
Compound: MgZn3Hg
Source: Alexandria
Functional: SCAN
Structure: single point on PBEsol structure

a = 5.015 Å, b = 5.015 Å, c = 5.015 Å
α = 90.00°, β = 90.00°, γ = 90.00°
Element x y z (fractional)
Mg (0.000, 0.000, 0.000)
Zn (0.000, 0.000, 0.500)
Zn (0.000, 0.500, 0.000)
Zn (0.500, 0.000, 0.000)
Hg (0.500, 0.500, 0.500)

Symmetry: Pm-3m (221)
Crystal system: cubic

***

No. 7
Compound: Mg2ZnHg
Source: Alexandria
Functional: SCAN
Structure: single point on PBEsol structure

a = 5.311 Å, b = 5.311 Å, c = 5.311 Å
α = 133.85°, β = 133.85°, γ = 67.32°
Element x y z (fractional)
Mg (0.000, 0.000, 0.000)
Mg (0.750, 0.250, 0.500)
Zn (0.500, 0.500, 0.000)
Hg (0.250, 0.750, 0.500)

Symmetry: I-4m2 (119)
Energy above the lowest structure with this stoichiometry (eV/atom): 0.0841
Crystal system: tetragonal

***

No. 8
Compound: MgZnHg
Source: Alexandria
Functional: SCAN
Structure: single point on PBEsol structure

a = 4.525 Å, b = 4.525 Å, c = 3.212 Å
α = 90.00°, β = 90.00°, γ = 120.00°
Element x y z (fractional)
Mg (0.000, 0.000, 0.000)
Zn (0.333, 0.667, 0.498)
Hg (0.667, 0.333, 0.499)

Symmetry: P3m1 (156)
Energy above the lowest structure with this stoichiometry (eV/atom): 0.0000
Crystal system: trigonal

***

In eV per atom, the total energy values for the records above are, in order, -23.10; -38.81; -28.92; -32.16; -38.80; -22.15; -23.07; -29.08.
In meV/atom, the energy of formation values for the records above are, in order, -188; -102; -37; -204; -99; 588; -164; -195.
In μB per formula unit, the size of the total moment values for the records above are, in order, 0.00; 0.00; 0.00; 0.00; 0.00; 0.00; 0.00; 0.00.